1.
Cu2Ge2I7 | PBE | optimized geometry

Cell and atoms, written as POSCAR:
```
Cu2Ge2I7
1.0
1.357 6.823 -4.206
-5.678 -5.094 -2.830
-6.691 -0.301 4.620
I Cu Ge
7 2 2
direct
0.223 0.496 0.496
0.714 0.420 0.988
0.286 0.012 0.580
0.714 0.988 0.420
0.286 0.580 0.012
0.777 0.504 0.504
0.000 0.000 0.000
0.500 0.656 0.344
0.500 0.344 0.656
0.022 0.223 0.223
0.978 0.777 0.777
```

Calculated values
Spin magnetization (Bohr magnetons per cell): 0.0
Energy relative to the elements, uncorrected (eV/atom): -0.170

2.
PrEr4Mg5 | PBE | optimized geometry

Cell and atoms, written as POSCAR:
```
PrEr4Mg5
1.0
-2.392 2.168 -1.962
-2.885 -1.337 2.040
2.409 14.117 12.663
Er Mg Pr
4 5 1
direct
0.000 0.000 0.402
0.000 0.000 0.598
0.000 0.000 0.794
0.000 0.000 0.206
0.500 0.500 0.696
0.500 0.500 0.500
0.500 0.500 0.304
0.500 0.500 0.891
0.500 0.500 0.109
0.000 0.000 0.000
```

Calculated values
Spin magnetization (Bohr magnetons per cell): 0.0
DFT formation energy (eV per atom): -0.073

3.
BaTcIr2 | PBE | optimized geometry

Cell and atoms, written as POSCAR:
```
BaTcIr2
1.0
0.000 3.412 3.412
3.412 0.000 3.412
3.412 3.412 0.000
Tc Ir Ba
1 2 1
direct
0.000 0.000 0.000
0.750 0.750 0.750
0.250 0.250 0.250
0.500 0.500 0.500
```

Calculated values
Spin magnetization (Bohr magnetons per cell): 2.9
DFT formation energy (eV per atom): 1.054

4.
Cs3ZrF7 | PBE | optimized geometry

Cell and atoms, written as POSCAR:
```
Cs3ZrF7
1.0
0.341 -0.612 6.676
6.651 -0.900 -0.120
4.088 4.850 3.589
F Cs Zr
7 3 1
direct
0.120 0.120 0.131
0.995 0.268 0.746
0.680 0.111 0.166
0.798 0.798 0.939
0.709 0.709 0.399
0.268 0.995 0.746
0.111 0.680 0.166
0.500 0.500 0.939
0.754 0.233 0.489
0.233 0.754 0.489
0.957 0.957 0.037
```

Calculated values
Spin magnetization (Bohr magnetons per cell): 0.0
Energy relative to the elements, uncorrected (eV/atom): -3.263